Entry from Alexandria: a relaxed HoAl2Fe2C crystal (PBE).

```
6
Lattice="-3.225 -1.786 -1.126 2.077 -3.053 -1.107 -0.544 -2.202 5.051" Properties=species:S:1:pos:R:3 pbc="T T T"
C 0.000 0.000 0.000
Al -0.719 -3.005 0.227
Al -0.974 -4.036 2.591
Ho -0.272 -1.101 2.526
Fe -1.612 -0.893 -0.563
Fe 1.038 -1.526 -0.554
```

## Properties
* calculated density: 6915 kg/m³
* DFT formation energy: -0.322 eV/atom


Entry from Alexandria: a relaxed AlFe2IrC crystal (PBE).

```
5
Lattice="-0.626 2.779 -3.431 2.783 -2.624 -2.633 -3.514 -2.412 -1.312" Properties=species:S:1:pos:R:3 pbc="T T T"
Ir 0.000 0.000 0.000
Fe -0.313 1.389 -1.716
Fe -1.757 -1.206 -0.656
Al 1.392 -1.312 -1.316
C -0.678 -1.129 -3.688
```

## Properties
* polymorph energy (0 for the lowest one): 2.435 eV per atom
* calculated density: 6166 kg/m³
* DFT formation energy: 2.317 eV/atom


Entry from Alexandria: a relaxed AlFe2IrC crystal (PBE).

```
5
Lattice="-2.239 2.180 2.129 -3.040 -1.770 -1.385 0.212 -2.712 3.000" Properties=species:S:1:pos:R:3 pbc="T T T"
Ir 0.106 -1.356 1.500
Al -2.534 -1.151 1.872
Fe -1.119 1.090 1.064
Fe -1.520 -0.885 -0.693
C 0.000 0.000 0.000
```

## Properties
* polymorph energy (0 for the lowest one): 0.000 eV per atom
* calculated density: 9836 kg/m³
* DFT formation energy: -0.118 eV/atom